Density functional theory data (PBE) for an optimized crystal structure of TcGeAu.

The structure belongs to space group Cm (No. 8); the cell edges are 10.3191, 2.7559 and 9.6998 Å and the angles 90.00°, 110.75° and 90.00°. The asymmetric unit holds Tc at (0.0000, 0.0000, 0.0000), Tc at (0.1771, 0.5000, 0.2083), Ge at (0.3358, 0.5000, 0.4669), Ge at (0.3990, 0.5000, 0.7393), Au at (0.2714, 0.0000, 0.0075) and Au at (0.4847, 0.5000, 0.3002).

As for the energy: -67.46 eV for the cell shown. The calculation puts the formation energy at 0.47 eV/atom.

---

Density functional theory data (PBE) for an optimized crystal structure of Ge2TeAu2.

The structure belongs to space group C2/m (No. 12); the cell edges are 6.0079, 7.2007 and 5.5139 Å and the angles 90.00°, 112.25° and 90.00°. The asymmetric unit holds Ge at (0.0345, 0.0000, 0.2525), Te at (0.0000, 0.5000, 0.0000) and Au at (0.0000, 0.3040, 0.5000).

As for the formation energy from raw total energies: 67 meV/atom. As for the energy: -37.20 eV for the cell shown. For the excess energy over the best structure of this formula in the dataset, the calculation gives 0.0000 eV per atom.

---

Density functional theory data (PBE) for an optimized crystal structure of GeTeAu2.

The structure belongs to space group R3m (No. 160, hexagonal axes); the cell edges are 4.2301, 4.2301 and 17.7277 Å and the angles 90.00°, 90.00° and 120.00°. The asymmetric unit holds Ge at (0.0000, 0.0000, 0.0000), Te at (0.0000, 0.0000, 0.8320), Au at (0.0000, 0.0000, 0.4007) and Au at (0.0000, 0.0000, 0.5969).

As for the formation energy from raw total energies: 83 meV/atom. As for the energy: -41.95 eV for the cell shown. For the excess energy over the best structure of this formula in the dataset, the calculation gives 0.0519 eV per atom.